A relaxed structure of Pm3Sm4Ag, computed with PBE.

Density = 7.4 g/cm³
Energy of formation from the pure elements = -50 meV/atom

abc: 3.6465 3.6465 19.3381
angles: 90.00 90.00 90.00
Closest atoms and distances in Å follow each position.
Space group P4/mmm (No. 123)
Inequivalent atoms, fractional coordinates:
Pm: 0.0000 0.0000 0.0000 (multiplicity 1)  4 Pm 3.65, 8 Sm 3.65
Pm: 0.0000 0.0000 0.2661 (multiplicity 2)  8 Sm 3.64-3.66, 4 Pm 3.65
Sm: 0.5000 0.5000 0.1336 (multiplicity 2)  8 Pm 3.64-3.65, 4 Sm 3.65
Sm: 0.5000 0.5000 0.4003 (multiplicity 2)  4 Ag 3.22
Ag: 0.0000 0.0000 0.5000 (multiplicity 1)  8 Sm 3.22


A relaxed structure of PrNdZnAu, computed with PBE.

Density = 8.9 g/cm³
Energy of formation from the pure elements = -533 meV/atom
Energy above the lowest structure with this stoichiometry = 0 meV per atom

abc: 3.7539 3.7539 7.2637
angles: 90.00 90.00 90.00
Closest atoms and distances in Å follow each position.
Space group P4mm (No. 99)
Inequivalent atoms, fractional coordinates:
Pr: 0.0000 0.0000 0.0000 (multiplicity 1)  4 Zn 3.22, 4 Au 3.25, 1 Nd 3.59
Nd: 0.0000 0.0000 0.5052 (multiplicity 1)  4 Zn 3.19, 4 Au 3.20
Zn: 0.5000 0.5000 0.7497 (multiplicity 1)  4 Nd 3.19, 4 Pr 3.22, 1 Au 3.57
Au: 0.5000 0.5000 0.2583 (multiplicity 1)  4 Nd 3.20, 4 Pr 3.25, 1 Zn 3.57


A relaxed structure of LiAcThS4, computed with PBE.

Density = 6.4 g/cm³
Energy relative to the elements, uncorrected = -1.77 eV/atom

abc: 6.3471 15.2489 6.4113
angles: 90.00 90.00 90.00
Closest atoms and distances in Å follow each position.
Space group Cmcm (No. 63)
Inequivalent atoms, fractional coordinates:
Li: 0.0000 0.2361 0.2500 (multiplicity 4)  5 S 2.27-2.44
Ac: 0.0000 0.1122 0.7500 (multiplicity 4)  5 S 2.87-3.08
Th: 0.0000 0.3700 0.7500 (multiplicity 4)  5 S 2.85-2.90
S: 0.0000 0.0761 0.2500 (multiplicity 4)  1 Li 2.44
S: 0.0000 0.4430 0.2500 (multiplicity 4)  1 Th 2.85, 1 Li 3.16
S: 0.2500 0.2500 0.0000 (multiplicity 8)  2 Li 2.27


> Which of these has the highest density?

PrNdZnAu